[1]
Below is a relaxed Pr5Mg2In crystal, with properties calculated at the GGA-PBE level.

- Total moment: 0.00 μB/f.u.
- Uncorrected energy: -3.799 eV per atom
- SG: I4/mcm
- Energy above the most stable polymorph in this dataset: 65 meV per atom
- N(E_F): 11.259 states/eV/f.u.
- ΔH_f (0 K): -54 kJ/mol of formula units

a = 8.174 Å, b = 8.174 Å, c = 9.720 Å
α = 114.87°, β = 114.87°, γ = 90.00°
Sites, in units of the cell vectors:
In1 0.250 0.250 0.500
In2 0.750 0.750 0.500
Pr1 0.996 0.496 0.318
Pr2 0.004 0.504 0.682
Pr3 0.504 0.678 0.682
Pr4 0.178 0.004 0.682
Pr5 0.822 0.996 0.318
Pr6 0.000 0.000 0.000
Pr7 0.500 0.500 0.000
Pr8 0.496 0.322 0.318
Pr9 0.322 0.822 0.318
Pr10 0.678 0.178 0.682
Mg1 0.126 0.374 0.000
Mg2 0.626 0.126 0.000
Mg3 0.874 0.626 0.000
Mg4 0.374 0.874 0.000

***

[2]
Below is a relaxed YEr3Zr crystal, with properties calculated at the GGA-PBE level.

- Total moment: 0.00 μB/f.u.
- Uncorrected energy: -5.678 eV per atom
- SG: P-1
- Energy above the most stable polymorph in this dataset: 0 meV per atom
- N(E_F): 6.781 states/eV/f.u.
- ΔH_f (0 K): 30 kJ/mol of formula units

a = 3.440 Å, b = 9.151 Å, c = 9.778 Å
α = 105.52°, β = 90.05°, γ = 100.84°
Sites, in units of the cell vectors:
Y1 0.418 0.871 0.152
Y2 0.626 0.283 0.270
Er1 0.024 0.081 0.464
Er2 0.629 0.291 0.757
Er3 0.415 0.863 0.664
Er4 0.818 0.669 0.370
Er5 0.226 0.485 0.052
Er6 0.020 0.073 0.957
Zr1 0.227 0.486 0.574
Zr2 0.817 0.668 0.848

***

[3]
Below is a relaxed KYBe2Cl8 crystal, with properties calculated at the GGA-PBE level.

- Total moment: 0.00 μB/f.u.
- Uncorrected energy: -4.258 eV per atom
- SG: R-3
- N(E_F): 0.000 states/eV/f.u.

a = 6.200 Å, b = 6.200 Å, c = 10.320 Å
α = 72.52°, β = 72.52°, γ = 60.00°
Sites, in units of the cell vectors:
Cl1 0.965 0.591 0.165
Cl2 0.280 0.965 0.165
Cl3 0.720 0.035 0.835
Cl4 0.591 0.280 0.165
Cl5 0.814 0.814 0.559
Cl6 0.035 0.409 0.835
Cl7 0.186 0.186 0.441
Cl8 0.409 0.720 0.835
K1 0.500 0.500 0.500
Be1 0.253 0.253 0.240
Be2 0.747 0.747 0.760
Y1 0.000 0.000 0.000

***

[4]
Below is a relaxed NbOsSeN2 crystal, with properties calculated at the GGA-PBE level.

- Total moment: 3.71 μB/f.u.
- Uncorrected energy: -7.111 eV per atom
- SG: P4/mmm
- Energy above the most stable polymorph in this dataset: 371 meV per atom
- N(E_F): 5.117 states/eV/f.u.

a = 3.960 Å, b = 3.960 Å, c = 5.498 Å
α = 90.00°, β = 90.00°, γ = 90.00°
Last column: magnetic moment on the atom in μB.
Sites, in units of the cell vectors:
N1 0.500 0.000 0.000  0.23
N2 0.000 0.500 0.000  0.23
Se1 0.000 0.000 0.500  0.05
Nb1 0.000 0.000 0.000  -0.01
Os1 0.500 0.500 0.500  2.71